The following is a DFT calculation (GGA-PBEsol) of ZrSc after structural relaxation.

Properties
The calculation puts the formation energy at 41 meV per atom.

The structure in CIF format:
```
data_ZrSc
_space_group_name_H-M_alt 'P 1'
_space_group_IT_number 1
_space_group_name_Hall 'P 1'
_cell_length_a 3.1877
_cell_length_b 3.1877
_cell_length_c 10.3305
_cell_angle_alpha 90.00
_cell_angle_beta 90.00
_cell_angle_gamma 120.00
loop_
_atom_site_label
_atom_site_type_symbol
_atom_site_fract_x
_atom_site_fract_y
_atom_site_fract_z
Sc1 Sc 0.0000 0.0000 0.0000
Sc2 Sc 0.0000 0.0000 0.5000
Zr1 Zr 0.6667 0.3333 0.7500
Zr2 Zr 0.3333 0.6667 0.2500
```

***

The following is a DFT calculation (GGA-PBEsol) of La2OsAu after structural relaxation.

Properties
The calculation puts the formation energy at -331 meV per atom.

The structure in CIF format:
```
data_La2OsAu
_space_group_name_H-M_alt 'P 1'
_space_group_IT_number 1
_space_group_name_Hall 'P 1'
_cell_length_a 3.4834
_cell_length_b 3.4834
_cell_length_c 7.7501
_cell_angle_alpha 90.00
_cell_angle_beta 90.00
_cell_angle_gamma 90.00
loop_
_atom_site_label
_atom_site_type_symbol
_atom_site_fract_x
_atom_site_fract_y
_atom_site_fract_z
Au1 Au 0.5000 0.5000 0.5000
Os1 Os 0.5000 0.5000 0.0000
La1 La 0.0000 0.0000 0.7720
La2 La 0.0000 0.0000 0.2280
```

***

The following is a DFT calculation (GGA-PBEsol) of K2PAu after structural relaxation.

Properties
The calculation puts the formation energy at -398 meV per atom.

The structure in CIF format:
```
data_K2PAu
_space_group_name_H-M_alt 'P 1'
_space_group_IT_number 1
_space_group_name_Hall 'P 1'
_cell_length_a 4.4463
_cell_length_b 5.2759
_cell_length_c 5.8411
_cell_angle_alpha 116.85
_cell_angle_beta 90.00
_cell_angle_gamma 90.00
loop_
_atom_site_label
_atom_site_type_symbol
_atom_site_fract_x
_atom_site_fract_y
_atom_site_fract_z
P1 P 0.0000 0.6545 0.3090
K1 K 0.0000 0.9703 0.9405
K2 K 0.5000 0.2725 0.5450
Au1 Au 0.5000 0.5887 0.1773
```

***

The following is a DFT calculation (GGA-PBEsol) of CdIn2Ir after structural relaxation.

Properties
The calculation puts the formation energy at 72 meV per atom.

The structure in CIF format:
```
data_CdIn2Ir
_space_group_name_H-M_alt 'P 1'
_space_group_IT_number 1
_space_group_name_Hall 'P 1'
_cell_length_a 3.1892
_cell_length_b 3.9826
_cell_length_c 5.8934
_cell_angle_alpha 90.00
_cell_angle_beta 90.00
_cell_angle_gamma 90.00
loop_
_atom_site_label
_atom_site_type_symbol
_atom_site_fract_x
_atom_site_fract_y
_atom_site_fract_z
Cd1 Cd 0.5000 0.5000 0.5000
Ir1 Ir 0.5000 0.5000 0.0000
In1 In 0.0000 0.0000 0.7651
In2 In 0.0000 0.0000 0.2349
```

***

The following is a DFT calculation (GGA-PBEsol) of GaTe2Pd after structural relaxation.

Properties
As for the uncorrected formation energy: 0.00 eV/atom.

The structure in CIF format:
```
data_GaTe2Pd
_space_group_name_H-M_alt 'P 1'
_space_group_IT_number 1
_space_group_name_Hall 'P 1'
_cell_length_a 3.9250
_cell_length_b 3.9250
_cell_length_c 8.8521
_cell_angle_alpha 77.19
_cell_angle_beta 77.19
_cell_angle_gamma 60.00
loop_
_atom_site_label
_atom_site_type_symbol
_atom_site_fract_x
_atom_site_fract_y
_atom_site_fract_z
Te1 Te 0.8882 0.8882 0.3354
Te2 Te 0.1118 0.1118 0.6646
Ga1 Ga 0.0000 0.0000 0.0000
Pd1 Pd 0.5000 0.5000 0.5000
```

***

The following is a DFT calculation (GGA-PBEsol) of RbRh2I after structural relaxation.

Properties
As for the uncorrected formation energy: 0.88 eV/atom.

The structure in CIF format:
```
data_RbRh2I
_space_group_name_H-M_alt 'P 1'
_space_group_IT_number 1
_space_group_name_Hall 'P 1'
_cell_length_a 4.8345
_cell_length_b 4.8345
_cell_length_c 4.8345
_cell_angle_alpha 60.00
_cell_angle_beta 60.00
_cell_angle_gamma 60.00
loop_
_atom_site_label
_atom_site_type_symbol
_atom_site_fract_x
_atom_site_fract_y
_atom_site_fract_z
I1 I 0.5000 0.5000 0.5000
Rh1 Rh 0.2500 0.2500 0.2500
Rh2 Rh 0.7500 0.7500 0.7500
Rb1 Rb 0.0000 0.0000 0.0000
```

***

The following is a DFT calculation (GGA-PBEsol) of Ba2CaReO6 after structural relaxation.

Properties
As for the uncorrected formation energy: -2.54 eV/atom.

The structure in CIF format:
```
data_Ba2CaReO6
_space_group_name_H-M_alt 'P 1'
_space_group_IT_number 1
_space_group_name_Hall 'P 1'
_cell_length_a 5.9016
_cell_length_b 5.9085
_cell_length_c 5.9016
_cell_angle_alpha 60.04
_cell_angle_beta 90.00
_cell_angle_gamma 119.96
loop_
_atom_site_label
_atom_site_type_symbol
_atom_site_fract_x
_atom_site_fract_y
_atom_site_fract_z
Ba1 Ba 0.7500 0.5000 0.7500
Ba2 Ba 0.2500 0.5000 0.2500
Ca1 Ca 0.5000 0.0000 0.5000
Re1 Re 0.0000 0.0000 0.0000
O1 O 0.7548 0.0000 0.7857
O2 O 0.7857 0.0000 0.2452
O3 O 0.2143 0.0000 0.7548
O4 O 0.2452 0.0000 0.2143
O5 O 0.2299 0.4598 0.7701
O6 O 0.7701 0.5402 0.2299
```

***

The following is a DFT calculation (GGA-PBEsol) of MgIn3 after structural relaxation.

Properties
The calculation puts the formation energy at -62 meV per atom.

The structure in CIF format:
```
data_MgIn3
_space_group_name_H-M_alt 'P 1'
_space_group_IT_number 1
_space_group_name_Hall 'P 1'
_cell_length_a 3.3053
_cell_length_b 5.5385
_cell_length_c 5.5385
_cell_angle_alpha 109.30
_cell_angle_beta 90.00
_cell_angle_gamma 90.00
loop_
_atom_site_label
_atom_site_type_symbol
_atom_site_fract_x
_atom_site_fract_y
_atom_site_fract_z
Mg1 Mg 0.0000 0.5000 0.5000
In1 In 0.0000 0.0000 0.0000
In2 In 0.5000 0.0000 0.5000
In3 In 0.5000 0.5000 0.0000
```

***

| no. | total energy (eV per atom) | total magnetization (μB/atom) |
| --- | --- | --- |
| 1 | -7.806 | 0.000 |
| 2 | -7.039 | 0.000 |
| 3 | -3.394 | 0.000 |
| 4 | -4.175 | 0.000 |
| 5 | -4.083 | 0.000 |
| 6 | -3.887 | 0.332 |
| 7 | -7.665 | 0.000 |
| 8 | -2.728 | 0.000 |